A plane-wave DFT calculation with PBE-GGA was carried out for crystalline ScMn2Br at its relaxed geometry.

Cell: 3.185 4.601 5.015 Å, 90.00 90.00 90.00°
Space group Pmmm (No. 47)
Unique sites:
Sc (0.000, 0.000, 0.000) (multiplicity 1)
Mn (0.000, 0.500, 0.500) (multiplicity 1)
Mn (0.500, 0.000, 0.500) (multiplicity 1)
Br (0.500, 0.500, 0.000) (multiplicity 1)

Properties
- DOS at the Fermi energy: 3.103 states/eV/f.u.
- Formation energy without anion corrections: 233 meV/atom
- E above lowest polymorph: 0.3358 eV/atom